Entry 1:
18
Lattice="-3.6310 3.9643 5.3699 3.6310 -3.9643 5.3699 3.6310 3.9643 -5.3699" Properties=species:S:1:pos:R:3 comment="UTlPtO6, optimized geometry, DFT PBE-GGA" dos_ef_per_ev_atom=0.513 raw_formation_energy_mev_per_atom=-1625.4 volume_a3_per_atom=17.18 mass_density_g_cm3=7.88 final_energy_ev_per_atom=-7.1192 pbc="T T T"
U 0.0000 0.0000 0.0000
U 0.0000 3.9643 0.0000
Tl 3.6310 1.9821 0.8741
Tl 0.0000 1.9821 4.4957
Pt 1.8155 1.9821 -2.6849
Pt 1.8155 -1.9821 2.6849
O 1.4556 -0.5582 1.3348
O 5.8063 -0.5582 1.3348
O 3.6310 1.9821 -1.9373
O 1.4556 3.4061 -1.3348
O 2.1753 -0.5582 4.0351
O 0.0000 1.9821 0.7640
O 3.6310 1.9821 4.6059
O 1.4556 4.5224 1.3348
O 2.1753 0.5582 6.7047
O 0.0000 1.9821 7.3072
O -2.1753 4.5224 4.0351
O 2.1753 4.5224 4.0351



Entry 2:
9
Lattice="5.0900 0.0000 0.0000 0.0000 5.0900 0.0000 0.0000 0.0000 10.9456" Properties=species:S:1:pos:R:3 comment="CsRbCu2Br5, optimized geometry, DFT PBE-GGA" dos_ef_per_ev_atom=0.347 raw_formation_energy_mev_per_atom=-941.2 volume_a3_per_atom=31.51 mass_density_g_cm3=4.36 final_energy_ev_per_atom=-2.9831 pbc="T T T"
Cs 0.0000 0.0000 0.0000
Rb 0.0000 0.0000 5.4728
Cu 2.5450 2.5450 2.6078
Cu 2.5450 2.5450 8.3378
Br 0.0000 2.5450 3.0550
Br 0.0000 2.5450 7.8905
Br 2.5450 0.0000 3.0550
Br 2.5450 0.0000 7.8905
Br 2.5450 2.5450 0.0000



Entry 3:
4
Lattice="2.6475 0.0000 0.0000 0.0000 4.1571 0.0000 -1.2097 0.0000 5.1416" Properties=species:S:1:pos:R:3 comment="Re2NiPt, optimized geometry, DFT PBE-GGA" formation_energy_ev_per_atom=-0.03 dos_ef_per_ev_atom=0.609 volume_a3_per_atom=14.15 mass_density_g_cm3=18.38 final_energy_ev_per_atom=-9.2081 pbc="T T T"
Re 0.0000 0.0000 0.0000
Re -0.0532 2.0785 3.6970
Ni 1.2817 2.0785 1.0506
Pt 1.3088 0.0000 2.4373



Entry 4:
4
Lattice="3.1112 -1.7924 0.0000 3.1112 1.7924 0.0000 -1.9756 0.0000 8.5056" Properties=species:S:1:pos:R:3 comment="RuPb2Cl, optimized geometry, DFT PBE-GGA" dos_ef_per_ev_atom=0.825 raw_formation_energy_mev_per_atom=61.2 volume_a3_per_atom=23.72 mass_density_g_cm3=9.64 final_energy_ev_per_atom=-4.5736 pbc="T T T"
Ru 0.0000 0.0000 0.0000
Pb 0.0967 0.0000 6.6187
Pb 4.1502 0.0000 1.8869
Cl 2.1235 0.0000 4.2528